[1]
Material: LiTbZn11
Method: DFT, PBE
State: optimized geometry

- DOS(E_F) (states/eV/f.u.) = 4.279
- SG = C2/m
- total energy (eV per cell) = -23.101

POSCAR file:
```
LiTbZn11
1.0
4.830 0.012 2.012
2.375 6.279 0.990
0.018 0.006 6.760
Zn Tb Li
11 1 1
Direct
0.502 0.220 0.784
0.359 0.646 0.649
0.714 0.780 0.784
0.286 0.220 0.216
0.000 0.000 0.500
0.000 0.500 0.000
0.500 0.000 0.500
0.992 0.354 0.649
0.641 0.354 0.351
0.498 0.780 0.216
0.008 0.646 0.351
0.000 0.000 0.000
0.500 0.500 0.000
```

***

[2]
Material: LiTb2Zn7
Method: DFT, PBE
State: optimized geometry

- DOS(E_F) (states/eV/f.u.) = 5.049
- SG = P-4m2
- total energy (eV per cell) = -22.853

POSCAR file:
```
LiTb2Zn7
1.0
-2.366 3.097 1.278
-0.832 -2.058 3.449
8.715 4.647 4.873
Zn Li Tb
7 1 2
Direct
0.000 0.000 0.500
0.000 0.500 0.635
0.500 0.000 0.142
0.500 0.500 0.500
0.000 0.500 0.858
0.500 0.000 0.365
0.000 0.000 0.000
0.500 0.500 0.000
0.000 0.500 0.260
0.500 0.000 0.740
```

***

[3]
Material: LiTbZrZn
Method: DFT, PBE
State: optimized geometry

- DOS(E_F) (states/eV/f.u.) = 3.487
- SG = F-43m
- total energy (eV per cell) = -16.394

POSCAR file:
```
LiTbZrZn
1.0
4.913 0.000 0.000
2.456 4.255 0.000
2.456 1.418 4.011
Zr Tb Zn Li
1 1 1 1
Direct
0.250 0.250 0.250
0.750 0.750 0.750
0.000 0.000 0.000
0.500 0.500 0.500
```

***

The highest total energy belongs to which entry? LiTbZrZn

***

Which value of DOS(E_F) does entry 2 give? 5.049 states/eV/f.u.

***

Copy entry 2 word for word.
Material: LiTb2Zn7
Method: DFT, PBE
State: optimized geometry

- DOS(E_F) (states/eV/f.u.) = 5.049
- SG = P-4m2
- total energy (eV per cell) = -22.853

POSCAR file:
```
LiTb2Zn7
1.0
-2.366 3.097 1.278
-0.832 -2.058 3.449
8.715 4.647 4.873
Zn Li Tb
7 1 2
Direct
0.000 0.000 0.500
0.000 0.500 0.635
0.500 0.000 0.142
0.500 0.500 0.500
0.000 0.500 0.858
0.500 0.000 0.365
0.000 0.000 0.000
0.500 0.500 0.000
0.000 0.500 0.260
0.500 0.000 0.740
```

***

Look up the total energy of the second one. -22.853 eV per cell